1.
PBE+U NpMoRhO6, relaxed; calculated density = 7.996 Mg/m³; calculated total energy = -146.9 eV per cell
1.0
5.374 0.000 0.000
-2.687 4.654 0.000
0.000 0.000 8.830
Mo O Np Rh
2 12 2 2
direct
0.333 0.667 0.750
0.667 0.333 0.250
0.673 0.670 0.626
0.998 0.327 0.626
0.327 0.330 0.374
0.330 0.327 0.874
0.002 0.330 0.126
0.670 0.673 0.126
0.330 0.002 0.626
0.998 0.670 0.874
0.673 0.002 0.874
0.670 0.998 0.374
0.002 0.673 0.374
0.327 0.998 0.126
0.667 0.333 0.750
0.333 0.667 0.250
0.000 0.000 0.000
0.000 0.000 0.500

---

2.
PBE+U Np3MoSe2O6, relaxed; calculated density = 7.842 Mg/m³; calculated total energy = -106.7 eV per cell
1.0
-0.522 -0.946 5.535
-5.558 -4.118 -1.228
6.072 -2.679 1.598
O Np Mo Se
6 3 1 2
direct
0.299 0.672 0.859
0.701 0.813 0.141
0.701 0.328 0.141
0.299 0.187 0.859
0.642 0.815 0.631
0.358 0.185 0.369
0.500 0.500 0.500
0.000 0.500 0.000
0.500 0.000 0.500
0.500 0.000 0.000
0.845 0.294 0.588
0.155 0.706 0.412

---

3.
PBE+U Sr2NpMoO6, relaxed; calculated density = 6.826 Mg/m³; calculated total energy = -160.3 eV per cell
1.0
-3.529 -3.308 -3.356
4.493 -3.819 -0.960
-2.307 -4.404 6.720
O Sr Np Mo
12 4 2 2
direct
0.415 0.973 0.750
0.292 0.709 0.044
0.585 0.027 0.250
0.208 0.209 0.456
0.085 0.473 0.750
0.915 0.527 0.250
0.791 0.790 0.954
0.209 0.210 0.046
0.708 0.291 0.956
0.291 0.710 0.454
0.792 0.791 0.544
0.709 0.290 0.546
0.491 0.461 0.249
0.991 0.039 0.749
0.509 0.539 0.751
0.009 0.961 0.251
0.000 0.500 0.000
0.500 0.000 0.500
0.000 0.500 0.500
0.500 0.000 0.000

---

4.
PBE+U NpTl2MoO8, relaxed; calculated density = 8.356 Mg/m³; calculated total energy = -83.5 eV per cell
1.0
5.098 -0.116 -0.002
-0.096 5.092 -0.006
0.004 0.008 6.661
O Tl Np Mo
8 2 1 1
direct
0.824 0.178 0.248
0.715 0.717 0.500
0.824 0.178 0.752
0.706 0.708 0.000
0.285 0.283 0.500
0.176 0.822 0.752
0.294 0.292 0.000
0.176 0.822 0.248
0.500 0.500 0.256
0.500 0.500 0.744
0.000 0.000 0.000
0.000 0.000 0.500

---

5.
PBE+U NpTlMoO6, relaxed; calculated density = 6.440 Mg/m³; calculated total energy = -140.1 eV per cell
1.0
5.545 0.000 0.000
-2.773 4.803 0.000
0.000 0.000 12.263
Np O Mo Tl
2 12 2 2
direct
0.667 0.333 0.250
0.333 0.667 0.750
0.990 0.615 0.838
0.990 0.375 0.662
0.615 0.625 0.162
0.375 0.990 0.162
0.010 0.625 0.338
0.615 0.990 0.338
0.625 0.010 0.838
0.010 0.385 0.162
0.625 0.615 0.662
0.385 0.010 0.662
0.375 0.385 0.338
0.385 0.375 0.838
0.333 0.667 0.250
0.667 0.333 0.750
0.000 0.000 0.000
0.000 0.000 0.500

---

6.
PBE+U TmNpMoO6, relaxed; calculated density = 8.123 Mg/m³; calculated total energy = -156.0 eV per cell
1.0
-5.455 -1.189 -0.653
2.608 -1.316 4.802
-2.145 7.997 3.357
O Mo Np Tm
12 2 2 2
direct
0.656 0.979 0.871
0.676 0.656 0.129
0.344 0.324 0.371
0.324 0.979 0.629
0.656 0.676 0.629
0.324 0.344 0.871
0.979 0.324 0.129
0.979 0.656 0.371
0.676 0.021 0.371
0.344 0.021 0.129
0.021 0.676 0.871
0.021 0.344 0.629
0.000 0.000 0.000
0.000 0.000 0.500
0.667 0.333 0.250
0.333 0.667 0.750
0.667 0.333 0.750
0.333 0.667 0.250

---

7.
PBE+U YNpMoO6, relaxed; calculated density = 6.924 Mg/m³; calculated total energy = -159.3 eV per cell
1.0
5.676 0.000 0.000
-2.838 4.915 0.000
0.000 0.000 8.903
Y O Np Mo
2 12 2 2
direct
0.667 0.333 0.750
0.333 0.667 0.250
0.319 0.973 0.628
0.654 0.681 0.628
0.027 0.346 0.628
0.973 0.319 0.128
0.654 0.973 0.872
0.319 0.346 0.872
0.973 0.654 0.372
0.346 0.319 0.372
0.681 0.027 0.372
0.681 0.654 0.128
0.027 0.681 0.872
0.346 0.027 0.128
0.667 0.333 0.250
0.333 0.667 0.750
0.000 0.000 0.500
0.000 0.000 0.000